# LaHo2As

An optimized crystal structure of LaHo2As (PBE, Alexandria).

## Properties
formation energy = -1.79 eV per formula unit

Cell lengths 3.7790, 3.7790, 31.6289 Å; angles 90.00, 90.00, 120.00 degrees
Space group R-3m (No. 166, hexagonal axes)
Asymmetric unit:
La 0.0000 0.0000 0.0000
Ho 0.0000 0.0000 0.1122
As 0.0000 0.0000 0.5000

# LaHoAs2

An optimized crystal structure of LaHoAs2 (PBE, Alexandria).

## Properties
formation energy = -6.16 eV per formula unit
polymorph energy (0 for the lowest one) = 0 meV/atom

Cell lengths 4.2425, 4.2425, 20.7290 Å; angles 90.00, 90.00, 120.00 degrees
Space group R-3m (No. 166, hexagonal axes)
Asymmetric unit:
La 0.0000 0.0000 0.0000
Ho 0.0000 0.0000 0.5000
As 0.0000 0.0000 0.2451

# La4HoAs5

An optimized crystal structure of La4HoAs5 (PBE, Alexandria).

## Properties
formation energy = -15.49 eV per formula unit

Cell lengths 9.6639, 9.6639, 6.1229 Å; angles 90.00, 90.00, 90.00 degrees
Space group I4/m (No. 87)
Asymmetric unit:
La 0.0982 0.7008 0.0000
Ho 0.0000 0.0000 0.5000
As 0.0000 0.0000 0.0000
As 0.0974 0.7077 0.5000

# LaHo4As5

An optimized crystal structure of LaHo4As5 (PBE, Alexandria).

## Properties
formation energy = -15.24 eV per formula unit

Cell lengths 13.7745, 4.1591, 10.1885 Å; angles 90.00, 119.49, 90.00 degrees
Space group C2/m (No. 12)
Asymmetric unit:
La 0.0000 0.0000 0.0000
Ho 0.0979 0.5000 0.3999
Ho 0.2008 0.0000 0.7953
As 0.0000 0.0000 0.5000
As 0.1057 0.5000 0.8954
As 0.2031 0.0000 0.3082

# La5HoAs6

An optimized crystal structure of La5HoAs6 (PBE, Alexandria).

## Properties
formation energy = -18.66 eV per formula unit

Cell lengths 7.5045, 12.9976, 7.5028 Å; angles 90.00, 109.49, 90.00 degrees
Space group C2/m (No. 12)
Asymmetric unit:
La 0.0000 0.0000 0.0000
La 0.0000 0.1662 0.5000
La 0.0000 0.3323 0.0000
Ho 0.0000 0.5000 0.5000
As 0.2434 0.5000 0.2542
As 0.2443 0.3372 0.7448

# La2HoAs

An optimized crystal structure of La2HoAs (PBE, Alexandria).

## Properties
formation energy = -2.33 eV per formula unit

Cell lengths 4.0554, 4.0554, 28.7674 Å; angles 90.00, 90.00, 120.00 degrees
Space group R3m (No. 160, hexagonal axes)
Asymmetric unit:
La 0.0000 0.0000 0.0000
La 0.0000 0.0000 0.2049
Ho 0.0000 0.0000 0.4350
As 0.0000 0.0000 0.6023

# La2HoAs3

An optimized crystal structure of La2HoAs3 (PBE, Alexandria).

## Properties
formation energy = -9.16 eV per formula unit

Cell lengths 4.2981, 4.2981, 18.1636 Å; angles 90.00, 90.00, 90.00 degrees
Space group I4/mmm (No. 139)
Asymmetric unit:
La 0.0000 0.0000 0.1653
Ho 0.0000 0.0000 0.5000
As 0.0000 0.0000 0.0000
As 0.0000 0.0000 0.3377

# LaNd3Ho2As6

An optimized crystal structure of LaNd3Ho2As6 (PBE, Alexandria).

## Properties
formation energy = -18.16 eV per formula unit

Cell lengths 7.3359, 12.7050, 7.3355 Å; angles 90.00, 109.48, 90.00 degrees
Space group C2/m (No. 12)
Asymmetric unit:
La 0.0000 0.0000 0.0000
Nd 0.0000 0.1651 0.5000
Nd 0.0000 0.5000 0.5000
Ho 0.0000 0.3328 0.0000
As 0.2400 0.5000 0.2433
As 0.2478 0.3295 0.7552

# La2Nd3HoAs6

An optimized crystal structure of La2Nd3HoAs6 (PBE, Alexandria).

## Properties
formation energy = -18.27 eV per formula unit

Cell lengths 18.6555, 4.2832, 8.5644 Å; angles 90.00, 103.32, 90.00 degrees
Space group C2/m (No. 12)
Asymmetric unit:
La 0.1651 0.0000 0.3307
Nd 0.0000 0.5000 0.5000
Nd 0.1670 0.0000 0.8343
Ho 0.0000 0.5000 0.0000
As 0.0016 0.0000 0.7581
As 0.1636 0.5000 0.0785
As 0.1658 0.5000 0.5856

# La3NdHo2As6

An optimized crystal structure of La3NdHo2As6 (PBE, Alexandria).

## Properties
formation energy = -18.43 eV per formula unit

Cell lengths 7.3944, 12.8077, 7.3899 Å; angles 90.00, 109.48, 90.00 degrees
Space group C2/m (No. 12)
Asymmetric unit:
La 0.0000 0.0000 0.0000
La 0.0000 0.3344 0.0000
Nd 0.0000 0.5000 0.5000
Ho 0.0000 0.1670 0.5000
As 0.2404 0.0000 0.7383
As 0.2492 0.3305 0.7393

# LaNdHo2As4

An optimized crystal structure of LaNdHo2As4 (PBE, Alexandria).

## Properties
formation energy = -12.20 eV per formula unit

Cell lengths 7.2891, 4.2170, 7.3002 Å; angles 90.00, 109.48, 90.00 degrees
Space group P2/m (No. 10)
Asymmetric unit:
La 0.0000 0.0000 0.0000
Nd 0.0000 0.5000 0.5000
Ho 0.5000 0.0000 0.5000
Ho 0.5000 0.5000 0.0000
As 0.2618 0.0000 0.7521
As 0.2634 0.5000 0.2562

# LaHoNi2As2

An optimized crystal structure of LaHoNi2As2 (PBE, Alexandria).

## Properties
formation energy = -6.41 eV per formula unit

Cell lengths 4.1200, 4.1200, 7.9035 Å; angles 90.00, 90.00, 120.00 degrees
Space group P-3m1 (No. 164)
Asymmetric unit:
La 0.0000 0.0000 0.0000
Ho 0.0000 0.0000 0.5000
Ni 0.3333 0.6667 0.7352
As 0.3333 0.6667 0.2649

# LaHoAs2O8

An optimized crystal structure of LaHoAs2O8 (PBE, Alexandria).

## Properties
total energy = -0.530 Ry/atom

Cell lengths 5.1343, 5.1343, 11.6365 Å; angles 90.00, 90.00, 90.00 degrees
Space group I-4 (No. 82)
Asymmetric unit:
La 0.0000 0.0000 0.0000
Ho 0.0000 0.5000 0.7500
As 0.0000 0.0000 0.5000
As 0.0000 0.5000 0.2500
O 0.1328 0.2500 0.5806
O 0.1511 0.7490 0.1753

# LaHoAsO2

An optimized crystal structure of LaHoAsO2 (PBE, Alexandria).

## Properties
total energy = -0.552 Ry/atom

Cell lengths 5.5048, 13.1684, 5.4901 Å; angles 90.00, 90.00, 90.00 degrees
Space group Cmcm (No. 63)
Asymmetric unit:
La 0.0000 0.0991 0.2500
Ho 0.0000 0.4174 0.2500
As 0.0000 0.2497 0.7500
O 0.2437 0.5000 0.0000

# LaHoAsP

An optimized crystal structure of LaHoAsP (PBE, Alexandria).

## Properties
formation energy = -5.76 eV per formula unit

Cell lengths 4.1213, 4.1213, 21.3620 Å; angles 90.00, 90.00, 120.00 degrees
Space group R3m (No. 160, hexagonal axes)
Asymmetric unit:
La 0.0000 0.0000 0.0000
Ho 0.0000 0.0000 0.8250
As 0.0000 0.0000 0.2397
P 0.0000 0.0000 0.4178

# LaHo2PaAs4

An optimized crystal structure of LaHo2PaAs4 (PBE, Alexandria).

## Properties
formation energy = -11.24 eV per formula unit

Cell lengths 7.1606, 4.1654, 7.2408 Å; angles 90.00, 109.48, 90.00 degrees
Space group P2/m (No. 10)
Asymmetric unit:
La 0.0000 0.0000 0.0000
Ho 0.5000 0.0000 0.5000
Ho 0.5000 0.5000 0.0000
Pa 0.0000 0.5000 0.5000
As 0.2532 0.0000 0.7426
As 0.2574 0.5000 0.2632

# La4Ho3PaAs8

An optimized crystal structure of La4Ho3PaAs8 (PBE, Alexandria).

## Properties
formation energy = -23.90 eV per formula unit

Cell lengths 8.4398, 8.4398, 20.8154 Å; angles 90.00, 90.00, 120.00 degrees
Space group R-3m (No. 166, hexagonal axes)
Asymmetric unit:
La 0.0000 0.0000 0.0000
La 0.0000 0.5000 0.0000
Ho 0.0000 0.5000 0.5000
Pa 0.0000 0.0000 0.5000
As 0.0000 0.0000 0.2451
As 0.0040 0.5020 0.2438

# La2HoPaAs4

An optimized crystal structure of La2HoPaAs4 (PBE, Alexandria).

## Properties
formation energy = -11.46 eV per formula unit

Cell lengths 7.2711, 4.2249, 7.3684 Å; angles 90.00, 109.36, 90.00 degrees
Space group P2/m (No. 10)
Asymmetric unit:
La 0.0000 0.0000 0.0000
La 0.5000 0.5000 0.0000
Ho 0.0000 0.5000 0.5000
Pa 0.5000 0.0000 0.5000
As 0.2479 0.0000 0.7314
As 0.2586 0.5000 0.2695

# LaHoAs2Pd5

An optimized crystal structure of LaHoAs2Pd5 (PBE, Alexandria).

## Properties
formation energy = -7.04 eV per formula unit

Cell lengths 4.2920, 4.2920, 9.3077 Å; angles 90.00, 90.00, 90.00 degrees
Space group P4/mmm (No. 123)
Asymmetric unit:
La 0.0000 0.0000 0.0000
Ho 0.0000 0.0000 0.5000
As 0.5000 0.5000 0.3649
Pd 0.0000 0.5000 0.2309
Pd 0.5000 0.5000 0.0000

# La2HoAs4Pd3

An optimized crystal structure of La2HoAs4Pd3 (PBE, Alexandria).

## Properties
formation energy = -10.18 eV per formula unit

Cell lengths 4.4901, 4.4901, 10.8180 Å; angles 90.00, 90.00, 90.00 degrees
Space group P-4m2 (No. 115)
Asymmetric unit:
La 0.0000 0.5000 0.2162
Ho 0.0000 0.0000 0.5000
As 0.0000 0.0000 0.0000
As 0.0000 0.5000 0.6534
As 0.5000 0.5000 0.0000
Pd 0.0000 0.5000 0.8865
Pd 0.5000 0.5000 0.5000

# La3Pm2HoAs6

An optimized crystal structure of La3Pm2HoAs6 (PBE, Alexandria).

## Properties
formation energy = -18.51 eV per formula unit

Cell lengths 7.4224, 12.8556, 7.4213 Å; angles 90.00, 109.47, 90.00 degrees
Space group C2/m (No. 12)
Asymmetric unit:
La 0.0000 0.0000 0.0000
La 0.0000 0.3325 0.0000
Pm 0.0000 0.1663 0.5000
Ho 0.0000 0.5000 0.5000
As 0.2446 0.3355 0.7408
As 0.2482 0.5000 0.2583

# La2PmHo3As6

An optimized crystal structure of La2PmHo3As6 (PBE, Alexandria).

## Properties
formation energy = -18.38 eV per formula unit

Cell lengths 18.3667, 4.2196, 8.4282 Å; angles 90.00, 103.18, 90.00 degrees
Space group C2/m (No. 12)
Asymmetric unit:
La 0.1659 0.0000 0.3320
Pm 0.0000 0.5000 0.0000
Ho 0.0000 0.5000 0.5000
Ho 0.1667 0.0000 0.8339
As 0.0035 0.0000 0.7464
As 0.1634 0.5000 0.5916
As 0.1682 0.5000 0.0741

# LaPm2HoAs4

An optimized crystal structure of LaPm2HoAs4 (PBE, Alexandria).

## Properties
formation energy = -12.19 eV per formula unit

Cell lengths 7.3397, 4.2434, 7.3450 Å; angles 90.00, 109.42, 90.00 degrees
Space group P2/m (No. 10)
Asymmetric unit:
La 0.0000 0.0000 0.0000
Pm 0.0000 0.5000 0.5000
Pm 0.5000 0.0000 0.5000
Ho 0.5000 0.5000 0.0000
As 0.2570 0.5000 0.2513
As 0.2575 0.0000 0.7536